(1)
# GeWO4

A relaxed structure of GeWO4 (PBE+U, the Alexandria database).

Output
- Total magnetization: 0.00 μB/cell
- DOS at the Fermi energy: 0.0000 states/eV per atom
- Symmetry: P2_13, No. 198

a b c (Å): 7.647 7.647 7.647
angles (deg): 90.00 90.00 90.00
Fractional positions:
Ge  0.195  0.305  0.695
Ge  0.305  0.695  0.195
Ge  0.695  0.195  0.305
Ge  0.805  0.805  0.805
W  0.167  0.167  0.167
W  0.333  0.833  0.667
W  0.667  0.333  0.833
W  0.833  0.667  0.333
O  0.053  0.656  0.237
O  0.156  0.263  0.947
O  0.200  0.700  0.800
O  0.237  0.053  0.656
O  0.263  0.947  0.156
O  0.300  0.300  0.300
O  0.344  0.737  0.447
O  0.447  0.344  0.737
O  0.553  0.844  0.763
O  0.656  0.237  0.053
O  0.700  0.800  0.200
O  0.737  0.447  0.344
O  0.763  0.553  0.844
O  0.800  0.200  0.700
O  0.844  0.763  0.553
O  0.947  0.156  0.263


(2)
# Ge3WO

A relaxed structure of Ge3WO (PBE+U, the Alexandria database).

Output
- Total magnetization: 2.94 μB/cell
- DOS at the Fermi energy: 0.5036 states/eV per atom
- Symmetry: Pm-3m, No. 221

a b c (Å): 4.360 4.360 4.360
angles (deg): 90.00 90.00 90.00
Fractional positions:
Ge  0.000  0.000  0.500
Ge  0.000  0.500  0.000
Ge  0.500  0.000  0.000
W  0.500  0.500  0.500
O  0.000  0.000  0.000


(3)
# YGe2WO8

A relaxed structure of YGe2WO8 (PBE+U, the Alexandria database).

Output
- Total magnetization: 1.00 μB/cell
- DOS at the Fermi energy: 0.0000 states/eV per atom
- Symmetry: I-4m2, No. 119

a b c (Å): 5.788 5.788 5.788
angles (deg): 106.98 106.98 114.59
Fractional positions:
Y  0.000  0.000  0.000
Ge  0.250  0.750  0.500
Ge  0.500  0.500  0.000
W  0.750  0.250  0.500
O  0.041  0.368  0.327
O  0.041  0.714  0.673
O  0.121  0.315  0.805
O  0.286  0.959  0.327
O  0.510  0.315  0.195
O  0.632  0.959  0.673
O  0.685  0.490  0.805
O  0.685  0.879  0.195


(4)
# ZnGe2WO6

A relaxed structure of ZnGe2WO6 (PBE+U, the Alexandria database).

Output
- Total magnetization: 0.00 μB/cell
- DOS at the Fermi energy: 0.0000 states/eV per atom
- Symmetry: C2/c, No. 15

a b c (Å): 8.367 8.367 4.988
angles (deg): 90.13 90.13 65.71
Fractional positions:
Zn  0.136  0.864  0.750
Zn  0.864  0.136  0.250
Ge  0.061  0.281  0.712
Ge  0.281  0.061  0.212
Ge  0.719  0.939  0.788
Ge  0.939  0.719  0.288
W  0.399  0.601  0.250
W  0.601  0.399  0.750
O  0.051  0.162  0.037
O  0.162  0.051  0.537
O  0.177  0.681  0.430
O  0.319  0.823  0.070
O  0.363  0.480  0.948
O  0.480  0.363  0.448
O  0.520  0.637  0.552
O  0.637  0.520  0.052
O  0.681  0.177  0.930
O  0.823  0.319  0.570
O  0.838  0.949  0.463
O  0.949  0.838  0.963


(5)
# ZnGeWO6

A relaxed structure of ZnGeWO6 (PBE+U, the Alexandria database).

Output
- Total magnetization: 0.00 μB/cell
- DOS at the Fermi energy: 0.0000 states/eV per atom
- Symmetry: P-31c, No. 163

a b c (Å): 5.068 5.068 9.131
angles (deg): 90.00 90.00 120.00
Fractional positions:
Zn  0.000  0.000  0.000
Zn  0.000  0.000  0.500
Ge  0.333  0.667  0.250
Ge  0.667  0.333  0.750
W  0.333  0.667  0.750
W  0.667  0.333  0.250
O  0.005  0.360  0.135
O  0.005  0.644  0.365
O  0.356  0.360  0.365
O  0.356  0.995  0.135
O  0.360  0.005  0.635
O  0.360  0.356  0.865
O  0.640  0.644  0.135
O  0.640  0.995  0.365
O  0.644  0.005  0.865
O  0.644  0.640  0.635
O  0.995  0.356  0.635
O  0.995  0.640  0.865


(6)
# ZnGe2WO8

A relaxed structure of ZnGe2WO8 (PBE+U, the Alexandria database).

Output
- Total magnetization: 0.00 μB/cell
- DOS at the Fermi energy: 0.0000 states/eV per atom
- Symmetry: I-4m2, No. 119

a b c (Å): 5.596 5.596 5.596
angles (deg): 108.26 108.26 111.93
Fractional positions:
Zn  0.000  0.000  0.000
Ge  0.250  0.750  0.500
Ge  0.500  0.500  0.000
W  0.750  0.250  0.500
O  0.042  0.358  0.316
O  0.042  0.726  0.684
O  0.114  0.317  0.797
O  0.274  0.958  0.316
O  0.520  0.317  0.203
O  0.642  0.958  0.684
O  0.683  0.480  0.797
O  0.683  0.886  0.203


The total energy results, record by record, are as follows: -6.90; -4.84; -7.30; -6.24; -6.41; -6.31 eV/atom.